Record 1
Below is LiRh2Se at its PBEsol-relaxed geometry, with properties calculated at the meta-GGA SCAN level.

The structure in POSCAR format:
```
LiRh2Se
1.0
4.201 0.000 0.000
0.000 1.431 4.664
0.000 -1.431 4.664
Li Rh Se
1 2 1
Direct
0.000 0.000 0.000
0.000 0.261 0.261
0.500 0.646 0.646
0.500 0.389 0.389
```

The calculation puts the electronic total energy at -22.745 eV/atom. Its symmetry is No. 38. As for the magnetization: 0.00 μB per formula unit.

Record 2
Below is MgSc3Tc at its PBEsol-relaxed geometry, with properties calculated at the meta-GGA SCAN level.

The structure in POSCAR format:
```
MgSc3Tc
1.0
4.985 0.000 0.000
0.000 4.985 0.000
0.000 0.000 4.985
Mg Sc Tc
1 3 1
Direct
0.000 0.000 0.000
0.000 0.500 0.500
0.500 0.000 0.500
0.500 0.500 0.000
0.500 0.500 0.500
```

Its formation energy is 0.079 eV per atom. Its symmetry is No. 221. As for the magnetization: 0.00 μB per formula unit.

Record 3
Below is CsZn3As at its PBEsol-relaxed geometry, with properties calculated at the meta-GGA SCAN level.

The structure in POSCAR format:
```
CsZn3As
1.0
5.145 0.000 0.000
0.000 5.145 0.000
0.000 0.000 5.145
Cs Zn As
1 3 1
Direct
0.000 0.000 0.000
0.000 0.500 0.500
0.500 0.000 0.500
0.500 0.500 0.000
0.500 0.500 0.500
```

Its formation energy is 0.316 eV per atom. Its symmetry is No. 221. As for the magnetization: 0.00 μB per formula unit.

Record 4
Below is Hf3GeOs at its PBEsol-relaxed geometry, with properties calculated at the meta-GGA SCAN level.

The structure in POSCAR format:
```
Hf3GeOs
1.0
4.771 0.000 0.000
0.000 4.771 0.000
0.000 0.000 4.771
Hf Ge Os
3 1 1
Direct
0.000 0.000 0.500
0.000 0.500 0.000
0.500 0.000 0.000
0.000 0.000 0.000
0.500 0.500 0.500
```

Its formation energy is 0.823 eV per atom. Its symmetry is No. 221. As for the magnetization: 0.01 μB per formula unit.

Record 5
Below is YBe2AlRh at its PBEsol-relaxed geometry, with properties calculated at the meta-GGA SCAN level.

The structure in POSCAR format:
```
YBe2AlRh
1.0
4.446 0.000 0.000
0.000 4.446 0.000
0.000 0.000 5.128
Y Be Al Rh
1 2 1 1
Direct
0.000 0.000 0.000
0.000 0.500 0.000
0.500 0.000 0.000
0.000 0.000 0.500
0.500 0.500 0.500
```

Its formation energy is 2.102 eV per atom. Its symmetry is No. 123. As for the magnetization: 0.92 μB per formula unit.

Record 6
Below is RbMnO4 at its PBEsol-relaxed geometry, with properties calculated at the meta-GGA SCAN level.

The structure in POSCAR format:
```
RbMnO4
1.0
9.539 0.000 0.000
0.000 5.600 0.000
0.000 0.000 7.582
Rb Mn O
4 4 16
Direct
0.189 0.250 0.153
0.311 0.750 0.653
0.689 0.250 0.347
0.811 0.750 0.847
0.050 0.250 0.705
0.450 0.750 0.205
0.550 0.250 0.795
0.950 0.750 0.295
0.080 0.016 0.822
0.080 0.484 0.822
0.112 0.750 0.355
0.151 0.250 0.537
0.349 0.750 0.037
0.388 0.250 0.855
0.420 0.516 0.322
0.420 0.984 0.322
0.580 0.016 0.678
0.580 0.484 0.678
0.612 0.750 0.145
0.651 0.250 0.963
0.849 0.750 0.463
0.888 0.250 0.645
0.920 0.516 0.178
0.920 0.984 0.178
```

The calculation puts the electronic total energy at -12.264 eV/atom. Its symmetry is No. 62. As for the magnetization: 0.00 μB per formula unit.